# 1
Ba2HfAlGa: relaxed, GGA-PBE.

CIF file:
```
data_Ba2HfAlGa
_chemical_formula_sum 'Ba2 Hf1 Al1 Ga1'
_cell_length_a 6.311
_cell_length_b 6.311
_cell_length_c 5.129
_cell_angle_alpha 90.00
_cell_angle_beta 90.00
_cell_angle_gamma 90.00
_symmetry_space_group_name_H-M 'P 4/m m m'
_symmetry_Int_Tables_number 123
_symmetry_space_group_name_Hall '-P 4 2'
loop_
_atom_site_label
_atom_site_fract_x
_atom_site_fract_y
_atom_site_fract_z
_atom_site_occupancy
Ba1 0.000 0.500 0.000 1
Hf1 0.000 0.000 0.500 1
Al1 0.500 0.500 0.500 1
Ga1 0.000 0.000 0.000 1
```

=====

# 2
Ba2Al3Ga4Hg: relaxed, GGA-PBE.

CIF file:
```
data_Ba2Al3Ga4Hg
_chemical_formula_sum 'Ba2 Al3 Ga4 Hg1'
_cell_length_a 4.664
_cell_length_b 4.664
_cell_length_c 11.002
_cell_angle_alpha 90.00
_cell_angle_beta 90.00
_cell_angle_gamma 90.00
_symmetry_space_group_name_H-M 'P -4 m 2'
_symmetry_Int_Tables_number 115
_symmetry_space_group_name_Hall 'P -4 -2'
loop_
_atom_site_label
_atom_site_fract_x
_atom_site_fract_y
_atom_site_fract_z
_atom_site_occupancy
Ba1 0.000 0.500 0.245 1
Al1 0.000 0.500 0.876 1
Al2 0.500 0.500 0.500 1
Ga1 0.000 0.000 0.000 1
Ga2 0.000 0.500 0.636 1
Ga3 0.500 0.500 0.000 1
Hg1 0.000 0.000 0.500 1
```

=====

no.,total energy (eV/f.u.),V (Å³ per atom),formation energy (eV/atom)
1,-17.877,40.851,0.538
2,-31.005,23.929,-0.352